VASP calculation (GGA-PBE) on an optimized crystal structure of LaTcS3.

abc: 5.416 5.416 5.416
angles: 90.00 90.00 90.00
Atoms (fractional coordinates):
La1 0.000 0.000 0.000
Tc1 0.500 0.500 0.500
S1 0.000 0.000 0.500
S2 0.000 0.500 0.000
S3 0.500 0.000 0.000

volume: 31.78 A^3/atom
total moment: 5.37 μB/f.u.
E_form (uncorrected): 0.41 eV/atom
space-group type: No. 221
offset from the most stable computed form: 1330 meV per atom
raw total energy: -0.1882 Ha/atom



VASP calculation (GGA-PBE) on an optimized crystal structure of LaTcS3.

abc: 4.708 4.708 4.708
angles: 90.00 90.00 90.00
Atoms (fractional coordinates):
La1 0.000 0.000 0.000
Tc1 0.500 0.500 0.500
S1 0.000 0.500 0.500
S2 0.500 0.000 0.500
S3 0.500 0.500 0.000

volume: 20.86 A^3/atom
total moment: 2.31 μB/f.u.
E_form (uncorrected): -0.92 eV/atom
space-group type: No. 221
offset from the most stable computed form: 0 meV per atom
raw total energy: -0.2371 Ha/atom



VASP calculation (GGA-PBE) on an optimized crystal structure of La2TcS2.

abc: 7.233 7.233 4.072
angles: 90.00 90.00 90.00
Atoms (fractional coordinates):
La1 0.162 0.338 0.000
La2 0.338 0.838 0.000
La3 0.662 0.162 0.000
La4 0.838 0.662 0.000
Tc1 0.000 0.000 0.500
Tc2 0.500 0.500 0.500
S1 0.155 0.655 0.500
S2 0.345 0.155 0.500
S3 0.655 0.845 0.500
S4 0.845 0.345 0.500

volume: 21.30 A^3/atom
total moment: 0.20 μB/f.u.
E_form (uncorrected): -1.08 eV/atom
space-group type: No. 127
offset from the most stable computed form: 0 meV per atom
raw total energy: -0.2489 Ha/atom



VASP calculation (GGA-PBE) on an optimized crystal structure of La2TcS2.

abc: 5.678 5.678 5.678
angles: 119.65 119.65 90.60
Atoms (fractional coordinates):
La1 0.250 0.750 0.500
La2 0.750 0.250 0.500
Tc1 0.000 0.000 0.000
S1 0.294 0.294 0.000
S2 0.706 0.706 0.000

volume: 26.02 A^3/atom
total moment: 1.12 μB/f.u.
E_form (uncorrected): -0.98 eV/atom
space-group type: No. 139
offset from the most stable computed form: 100 meV per atom
raw total energy: -0.2452 Ha/atom



VASP calculation (GGA-PBE) on an optimized crystal structure of La8Tc2S.

abc: 9.598 9.598 9.016
angles: 96.15 96.15 24.36
Atoms (fractional coordinates):
La1 0.011 0.011 0.222
La2 0.217 0.217 0.336
La3 0.342 0.342 0.027
La4 0.395 0.395 0.438
La5 0.605 0.605 0.562
La6 0.658 0.658 0.973
La7 0.783 0.783 0.664
La8 0.989 0.989 0.778
Tc1 0.176 0.176 0.750
Tc2 0.824 0.824 0.250
S1 0.500 0.500 0.000

volume: 30.95 A^3/atom
total moment: 0.00 μB/f.u.
E_form (uncorrected): -0.33 eV/atom
space-group type: No. 12
raw total energy: -0.2269 Ha/atom



VASP calculation (GGA-PBE) on an optimized crystal structure of La2TiTcS.

abc: 5.569 5.569 4.349
angles: 90.00 90.00 90.00
Atoms (fractional coordinates):
La1 0.000 0.500 0.000
La2 0.500 0.000 0.000
Ti1 0.000 0.000 0.500
Tc1 0.500 0.500 0.500
S1 0.500 0.500 0.000

volume: 26.98 A^3/atom
total moment: 2.48 μB/f.u.
E_form (uncorrected): -0.11 eV/atom
space-group type: No. 123
raw total energy: -0.2410 Ha/atom



What is the formula in the fifth record?
La8Tc2S



Which of these has the highest raw total energy?
number 1



volume of number 4 (La2TcS2)?
26.02 A^3/atom